A relaxed structure of MgGaF. Source: Alexandria via LeMat-Bulk, functional GGA-PBE.

Summary:
- formation energy (no corrections) (eV/f.u.) = -5.0
- space group = P4/nmm (129)
- VASP energy (eV per atom) = -3.82
- total magnetization (μB per formula unit) = 0.0
- excess energy over the best structure of this formula in the dataset (meV per atom) = 15

POSCAR file:
```
MgGaF
1.0
3.622 0.000 0.000
0.000 3.622 0.000
0.000 0.000 7.011
Mg Ga F
2 2 2
direct
0.250 0.250 0.163
0.750 0.750 0.837
0.250 0.250 0.573
0.750 0.750 0.427
0.250 0.750 0.000
0.750 0.250 0.000
```